[1]
This record from Alexandria describes crystalline ScTlCu2P at its relaxed geometry. The functional is GGA-PBE.

Unit cell a=4.286 b=5.837 c=4.286 alpha=90.00 beta=90.00 gamma=90.00
Last column: magnetic moment on the atom in μB.
Element x y z (fractional)
Cu1 0.000 0.000 0.500  0.01
Cu2 0.500 0.000 0.000  0.01
Tl1 0.000 0.500 0.000  0.05
Sc1 0.500 0.500 0.500  0.27
P1 0.000 0.000 0.000  0.01

Results
- Total magnetic moment: 0.5 μB per cell
- Formation enthalpy at 0 K: 0.2343 eV per atom
- N(E_F): 0.75 states/eV per atom
- Total energy: -21.1 eV per cell
- ρ: 6.3 g cm⁻³

[2]
This record from Alexandria describes crystalline CuPSe2 at its relaxed geometry. The functional is GGA-PBE.

Unit cell a=7.529 b=7.529 c=7.529 alpha=155.13 beta=146.96 gamma=41.80
Element x y z (fractional)
Cu1 0.392 0.392 0.000
Se1 0.080 0.080 0.000
Se2 0.837 0.337 0.500
P1 0.191 0.691 0.500

Results
- Total magnetic moment: 0.0 μB per cell
- N(E_F): 0.26 states/eV per atom
- Total energy: -15.3 eV per cell
- ρ: 4.3 g cm⁻³
- Distance to the lowest polymorph of the same formula: 351 meV per atom

[3]
This record from Alexandria describes crystalline CuP2Se at its relaxed geometry. The functional is GGA-PBE.

Unit cell a=9.249 b=9.249 c=9.249 alpha=159.18 beta=159.18 gamma=29.61
Element x y z (fractional)
Cu1 0.750 0.250 0.500
P1 0.500 0.500 0.000
P2 0.000 0.000 0.000
Se1 0.250 0.750 0.500

Results
- Total magnetic moment: 0.0 μB per cell
- N(E_F): 0.92 states/eV per atom
- Total energy: -16.8 eV per cell
- ρ: 3.4 g cm⁻³
- Distance to the lowest polymorph of the same formula: 345 meV per atom

[4]
This record from Alexandria describes crystalline CuP2Se at its relaxed geometry. The functional is GGA-PBE.

Unit cell a=3.466 b=3.466 c=5.505 alpha=90.00 beta=90.00 gamma=90.00
Element x y z (fractional)
P1 0.000 0.000 0.942
P2 0.000 0.000 0.558
Cu1 0.500 0.500 0.750
Se1 0.500 0.500 0.250

Results
- Total magnetic moment: 0.0 μB per cell
- N(E_F): 0.50 states/eV per atom
- Total energy: -16.5 eV per cell
- ρ: 5.1 g cm⁻³
- Distance to the lowest polymorph of the same formula: 417 meV per atom

[5]
This record from Alexandria describes crystalline CuPSe2 at its relaxed geometry. The functional is GGA-PBE.

Unit cell a=4.588 b=4.588 c=4.588 alpha=60.00 beta=60.00 gamma=60.00
Element x y z (fractional)
Se1 0.250 0.250 0.250
Cu1 0.500 0.500 0.500
P1 0.000 0.000 0.000
Se2 0.750 0.750 0.750

Results
- Total magnetic moment: 0.0 μB per cell
- N(E_F): 0.55 states/eV per atom
- Total energy: -14.3 eV per cell
- ρ: 6.1 g cm⁻³
- Distance to the lowest polymorph of the same formula: 602 meV per atom

[6]
This record from Alexandria describes crystalline CuP2Se at its relaxed geometry. The functional is GGA-PBE.

Unit cell a=3.348 b=3.346 c=7.307 alpha=90.00 beta=90.00 gamma=90.00
Element x y z (fractional)
Cu1 0.000 0.500 0.500
P1 0.000 0.000 0.000
Se1 0.500 0.000 0.500
P2 0.500 0.500 0.000

Results
- Total magnetic moment: 0.0 μB per cell
- N(E_F): 0.80 states/eV per atom
- Total energy: -16.8 eV per cell
- ρ: 4.1 g cm⁻³
- Distance to the lowest polymorph of the same formula: 353 meV per atom

[7]
This record from Alexandria describes crystalline CuPSe2 at its relaxed geometry. The functional is GGA-PBE.

Unit cell a=5.473 b=5.473 c=7.309 alpha=68.01 beta=68.01 gamma=90.00
Element x y z (fractional)
Se1 0.633 0.125 0.250
P1 0.500 0.500 0.000
Cu1 0.000 0.000 0.000
Se2 0.117 0.625 0.250
P2 0.250 0.750 0.500
Cu2 0.750 0.250 0.500
Se3 0.875 0.883 0.750
Se4 0.375 0.367 0.750

Results
- Total magnetic moment: 0.0 μB per cell
- N(E_F): 0.09 states/eV per atom
- Total energy: -31.8 eV per cell
- ρ: 4.5 g cm⁻³
- Distance to the lowest polymorph of the same formula: 204 meV per atom

[8]
This record from Alexandria describes crystalline CuP2Se at its relaxed geometry. The functional is GGA-PBE.

Unit cell a=7.952 b=7.952 c=3.911 alpha=41.61 beta=41.61 gamma=25.11
Element x y z (fractional)
P1 0.013 0.013 0.030
Se1 0.750 0.750 0.750
Cu1 0.250 0.250 0.250
P2 0.487 0.487 0.470

Results
- Total magnetic moment: 0.0 μB per cell
- N(E_F): 0.42 states/eV per atom
- Total energy: -18.2 eV per cell
- ρ: 5.0 g cm⁻³
- Distance to the lowest polymorph of the same formula: 0 meV per atom